Record 1
A relaxed Ti3CuPt crystal. Source: Alexandria, functional PBE-GGA.

Cell: 4.7968 4.7968 4.7968 Å, 90.00 90.00 90.00°
Closest atoms and distances in Å follow each position.
Space group Pm-3m (No. 221)
One atom of each set of equivalent atoms:
Ti: 0.0000 0.0000 0.5000  2 Pt 2.40
Cu: 0.5000 0.5000 0.5000  12 Ti 3.39
Pt: 0.0000 0.0000 0.0000  6 Ti 2.40

Properties
As for the energy relative to the elements: 555 meV per atom. For the energy relative to the lowest polymorph listed for this composition, the calculation gives 0.554 eV/atom.

Record 2
A relaxed K2BePH crystal. Source: Alexandria, functional PBE-GGA.

Cell: 6.6534 3.7691 9.5022 Å, 90.00 110.45 90.00°
Closest atoms and distances in Å follow each position.
Space group P2_1/m (No. 11)
One atom of each set of equivalent atoms:
K: 0.2166 0.2500 0.4105  2 H 2.97, 1 Be 3.30
K: 0.2731 0.7500 0.0516  3 H 2.76-2.87
Be: 0.2201 0.2500 0.7587  1 H 1.50
P: 0.3414 0.7500 0.7199  2 Be 2.13
H: 0.0445 0.2500 0.8237  1 Be 1.50

Properties
For the calculated total energy, the calculation gives -3.269 eV per atom.

Record 3
A relaxed InPbCl2 crystal. Source: Alexandria, functional PBE-GGA.

Cell: 3.7490 3.7490 27.5384 Å, 90.00 90.00 120.00°
Closest atoms and distances in Å follow each position.
Space group R-3m (No. 166, hexagonal axes)
One atom of each set of equivalent atoms:
In: 0.0000 0.0000 0.0000  6 Cl 3.14
Pb: 0.0000 0.0000 0.5000  6 Cl 3.17
Cl: 0.0000 0.0000 0.2506  3 In 3.14, 3 Pb 3.17

Properties
The energy relative to the elements, uncorrected is -0.675 eV/atom. For the energy relative to the lowest polymorph listed for this composition, the calculation gives 0.034 eV/atom.

Record 4
A relaxed LiYTi2Au crystal. Source: Alexandria, functional PBE-GGA.

Cell: 4.8017 4.8017 4.6199 Å, 90.00 90.00 90.00°
Closest atoms and distances in Å follow each position.
Space group P4/mmm (No. 123)
One atom of each set of equivalent atoms:
Li: 0.0000 0.0000 0.0000  2 Y 2.31
Y: 0.0000 0.0000 0.5000  2 Li 2.31, 4 Ti 2.40
Ti: 0.0000 0.5000 0.5000  2 Y 2.40
Au: 0.5000 0.5000 0.0000  8 Ti 3.33, 4 Li 3.40

Properties
As for the energy relative to the elements: 1285 meV per atom.

Record 5
A relaxed RbLaZnS3 crystal. Source: Alexandria, functional PBE-GGA.

Cell: 9.2880 4.1865 9.7142 Å, 90.00 105.55 90.00°
Closest atoms and distances in Å follow each position.
Space group P2_1/m (No. 11)
One atom of each set of equivalent atoms:
Rb: 0.1930 0.2500 0.2239  7 S 3.42-3.65
La: 0.3362 0.7500 0.8463  6 S 2.85-3.05
Zn: 0.0807 0.2500 0.6063  4 S 2.30-2.48
S: 0.1207 0.2500 0.8503  1 Zn 2.30
S: 0.1769 0.7500 0.5277  3 Zn 2.40-2.48
S: 0.4531 0.7500 0.1495  3 La 2.85-2.86

Properties
The energy relative to the elements, uncorrected is -1.503 eV/atom.

Record 6
A relaxed PaTlPbO4 crystal. Source: Alexandria, functional PBE-GGA.

Cell: 7.1591 7.7861 10.4322 Å, 90.00 90.00 90.00°
Closest atoms and distances in Å follow each position.
Space group Imma (No. 74)
One atom of each set of equivalent atoms:
Pa: 0.2500 0.2500 0.2500  6 O 2.12-2.25
Tl: 0.0000 0.2500 0.6213  4 O 2.59-2.89
Pb: 0.0000 0.0000 0.0000  6 O 2.61-2.62
O: 0.0000 0.0745 0.2441  2 Pa 2.25
O: 0.2353 0.2500 0.0473  1 Pa 2.12

Properties
The energy relative to the elements, uncorrected is -2.228 eV/atom.

Record 7
A relaxed CuSi3Hg crystal. Source: Alexandria, functional PBE-GGA.

Cell: 4.6105 4.6105 4.6105 Å, 90.00 90.00 90.00°
Closest atoms and distances in Å follow each position.
Space group Pm-3m (No. 221)
One atom of each set of equivalent atoms:
Cu: 0.0000 0.0000 0.0000  6 Si 2.31
Si: 0.0000 0.0000 0.5000  2 Cu 2.31
Hg: 0.5000 0.5000 0.5000  12 Si 3.26

Properties
The energy relative to the elements, uncorrected is 0.717 eV/atom. For the energy relative to the lowest polymorph listed for this composition, the calculation gives 0.000 eV/atom.

Record 8
A relaxed LiCu2Au2 crystal. Source: Alexandria, functional PBE-GGA.

Cell: 3.4905 3.4905 13.4442 Å, 90.00 90.00 90.00°
Closest atoms and distances in Å follow each position.
Space group I4/mmm (No. 139)
One atom of each set of equivalent atoms:
Li: 0.0000 0.0000 0.0000  8 Au 2.82
Cu: 0.0000 0.5000 0.2500  4 Cu 2.47, 4 Au 2.66
Au: 0.0000 0.0000 0.3990  4 Cu 2.66, 1 Au 2.72, 4 Li 2.82

Properties
As for the energy relative to the elements: -125 meV per atom. For the energy relative to the lowest polymorph listed for this composition, the calculation gives 0.080 eV/atom.

Record 9
A relaxed Cs2RbBaPd crystal. Source: Alexandria, functional PBE-GGA.

Cell: 7.3534 7.3534 6.2340 Å, 90.00 90.00 90.00°
Closest atoms and distances in Å follow each position.
Space group P4/mmm (No. 123)
One atom of each set of equivalent atoms:
Cs: 0.0000 0.5000 0.0000  2 Pd 3.68
Rb: 0.0000 0.0000 0.5000  8 Cs 4.82, 4 Ba 5.20
Ba: 0.5000 0.5000 0.5000  2 Pd 3.12
Pd: 0.5000 0.5000 0.0000  2 Ba 3.12

Properties
As for the energy relative to the elements: 18 meV per atom.

Record 10
A relaxed NdErSc2Se4 crystal. Source: Alexandria, functional PBE-GGA.

Cell: 6.9475 3.9584 6.9973 Å, 90.00 108.86 90.00°
Closest atoms and distances in Å follow each position.
Space group P2/m (No. 10)
One atom of each set of equivalent atoms:
Nd: 0.0000 0.0000 0.0000  6 Se 2.95
Er: 0.5000 0.5000 0.0000  6 Se 2.88
Sc: 0.0000 0.5000 0.5000  6 Se 2.79-2.80
Sc: 0.5000 0.0000 0.5000  6 Se 2.72-2.73
Se: 0.2522 0.0000 0.7328  3 Sc 2.73-2.79, 2 Er 2.88, 1 Nd 2.95
Se: 0.2658 0.5000 0.2732  3 Sc 2.72-2.80, 1 Er 2.88, 2 Nd 2.95

Properties
The energy relative to the elements, uncorrected is -1.664 eV/atom.

Record 11
A relaxed CoPCl3 crystal. Source: Alexandria, functional PBE-GGA.

Cell: 7.5026 7.5026 5.6590 Å, 90.00 90.00 120.00°
Closest atoms and distances in Å follow each position.
Space group P6_3/mmc (No. 194)
One atom of each set of equivalent atoms:
Co: 0.0000 0.0000 0.0000  6 Cl 2.26
P: 0.3333 0.6667 0.2500  12 Cl 3.77-3.82
Cl: 0.1354 0.2708 0.7500  2 Co 2.26

Properties
The energy relative to the elements, uncorrected is 0.233 eV/atom. For the energy relative to the lowest polymorph listed for this composition, the calculation gives 0.000 eV/atom.

Record 12
A relaxed Mn2IrPt crystal. Source: Alexandria, functional PBE-GGA.

Cell: 4.3080 3.1626 8.6159 Å, 90.00 90.00 90.00°
Closest atoms and distances in Å follow each position.
Space group Pmma (No. 51)
One atom of each set of equivalent atoms:
Mn: 0.2500 0.0000 0.1226  6 Ir 2.65-2.67, 2 Pt 2.69
Mn: 0.2500 0.0000 0.6280  2 Ir 2.66, 6 Pt 2.67-2.70
Ir: 0.2500 0.5000 0.8763  8 Mn 2.65-2.67
Pt: 0.2500 0.5000 0.3746  8 Mn 2.67-2.70

Properties
As for the energy relative to the elements: -212 meV per atom. For the energy relative to the lowest polymorph listed for this composition, the calculation gives 0.036 eV/atom.

Record 13
A relaxed CeZnAg2 crystal. Source: Alexandria, functional PBE-GGA.

Cell: 7.0450 4.6410 10.3958 Å, 90.00 90.00 90.00°
Closest atoms and distances in Å follow each position.
Space group Amm2 (No. 38)
One atom of each set of equivalent atoms:
Ce: 0.0000 0.0000 0.0000  7 Ag 2.99-3.21, 2 Zn 3.21
Ce: 0.5000 0.0000 0.1737  9 Ag 3.11-3.43, 4 Zn 3.24
Zn: 0.1865 0.0000 0.7180  1 Zn 2.63, 4 Ag 2.69-2.76
Ag: 0.0000 0.0000 0.2872  4 Zn 2.76, 2 Ag 2.86, 1 Ce 2.99
Ag: 0.3021 0.0000 0.4711  1 Zn 2.69, 4 Ag 2.79-2.89
Ag: 0.5000 0.0000 0.8734  2 Zn 2.74, 4 Ag 2.89

Properties
As for the energy relative to the elements: -173 meV per atom.

Record 14
A relaxed NdEr2Ga crystal. Source: Alexandria, functional PBE-GGA.

Cell: 3.4872 3.4872 33.7379 Å, 90.00 90.00 120.00°
Closest atoms and distances in Å follow each position.
Space group R-3m (No. 166, hexagonal axes)
One atom of each set of equivalent atoms:
Nd: 0.0000 0.0000 0.0000  2 Er 3.47, 6 Nd 3.49
Er: 0.0000 0.0000 0.1030  3 Ga 2.95
Ga: 0.0000 0.0000 0.5000  6 Er 2.95

Properties
As for the energy relative to the elements: -32 meV per atom. For the energy relative to the lowest polymorph listed for this composition, the calculation gives 0.259 eV/atom.

Record 15
A relaxed InGa3Tc crystal. Source: Alexandria, functional PBE-GGA.

Cell: 4.8887 4.8887 4.8887 Å, 90.00 90.00 90.00°
Closest atoms and distances in Å follow each position.
Space group Pm-3m (No. 221)
One atom of each set of equivalent atoms:
In: 0.0000 0.0000 0.0000  12 Ga 3.46
Ga: 0.0000 0.5000 0.5000  2 Tc 2.44
Tc: 0.5000 0.5000 0.5000  6 Ga 2.44

Properties
As for the energy relative to the elements: 83 meV per atom. For the energy relative to the lowest polymorph listed for this composition, the calculation gives 0.000 eV/atom.

Record 16
A relaxed PuZrOs4 crystal. Source: Alexandria, functional PBE-GGA.

Cell: 7.4978 7.4978 7.4978 Å, 90.00 90.00 90.00°
Closest atoms and distances in Å follow each position.
Space group F-43m (No. 216)
One atom of each set of equivalent atoms:
Pu: 0.0000 0.0000 0.0000  12 Os 3.11, 4 Zr 3.25
Zr: 0.2500 0.2500 0.7500  12 Os 3.11, 4 Pu 3.25
Os: 0.1249 0.1249 0.3751  6 Os 2.65

Properties
As for the energy relative to the elements: -174 meV per atom.

Record 17
A relaxed Nd4Tl3Ni crystal. Source: Alexandria, functional PBE-GGA.

Cell: 3.6453 3.6453 16.6879 Å, 90.00 90.00 90.00°
Closest atoms and distances in Å follow each position.
Space group P4/mmm (No. 123)
One atom of each set of equivalent atoms:
Nd: 0.0000 0.0000 0.0994  4 Ni 3.07, 1 Nd 3.32, 4 Tl 3.43
Nd: 0.0000 0.0000 0.3665  8 Tl 3.39-3.41, 4 Nd 3.65
Tl: 0.5000 0.5000 0.2349  8 Nd 3.39-3.43, 4 Tl 3.65
Tl: 0.5000 0.5000 0.5000  8 Nd 3.41, 4 Tl 3.65
Ni: 0.5000 0.5000 0.0000  8 Nd 3.07

Properties
As for the energy relative to the elements: -336 meV per atom.

Record 18
A relaxed CrTc3 crystal. Source: Alexandria, functional PBE-GGA.

Cell: 5.9319 7.6402 5.0887 Å, 90.00 90.00 90.00°
Closest atoms and distances in Å follow each position.
Space group Pnma (No. 62)
One atom of each set of equivalent atoms:
Cr: 0.1108 0.2500 0.0672  8 Tc 2.41-2.55
Tc: 0.0105 0.7500 0.3849  2 Cr 2.41-2.43
Tc: 0.2008 0.5485 0.8698  3 Cr 2.43-2.55, 3 Tc 2.70-2.71

Properties
As for the energy relative to the elements: 272 meV per atom.

Record 19
A relaxed CaAgSe2 crystal. Source: Alexandria, functional PBE-GGA.

Cell: 4.2470 4.2470 18.9435 Å, 90.00 90.00 120.00°
Closest atoms and distances in Å follow each position.
Space group R3m (No. 160, hexagonal axes)
One atom of each set of equivalent atoms:
Ca: 0.0000 0.0000 0.0000  6 Se 2.92-2.97
Ag: 0.0000 0.0000 0.8265  6 Se 2.85-2.93
Se: 0.0000 0.0000 0.2444  3 Ag 2.93, 3 Ca 2.97, 1 Se 3.26
Se: 0.0000 0.0000 0.4167  3 Ag 2.85, 3 Ca 2.92

Properties
The energy relative to the elements, uncorrected is -0.819 eV/atom.

Record 20
A relaxed NdZn5CdPt2 crystal. Source: Alexandria, functional PBE-GGA.

Cell: 4.8621 4.8621 7.5487 Å, 90.00 90.00 90.00°
Closest atoms and distances in Å follow each position.
Space group P4/mmm (No. 123)
One atom of each set of equivalent atoms:
Nd: 0.0000 0.0000 0.0000  12 Zn 3.20-3.44
Zn: 0.0000 0.5000 0.2755  2 Pt 2.46
Zn: 0.5000 0.5000 0.0000  2 Pt 2.43
Cd: 0.0000 0.0000 0.5000  8 Zn 2.96
Pt: 0.5000 0.5000 0.3215  5 Zn 2.43-2.46, 1 Pt 2.70

Properties
As for the energy relative to the elements: -244 meV per atom.

Number 1: D(E_F) 1.31 states/eV per atom, total magnetization 2.0 μB per cell. Number 2: D(E_F) 0.00 states/eV per atom, total magnetization 0.0 μB per cell. Number 3: D(E_F) 0.24 states/eV per atom, total magnetization 0.0 μB per cell. Number 4: D(E_F) 1.10 states/eV per atom, total magnetization 0.0 μB per cell. Number 5: D(E_F) 0.00 states/eV per atom, total magnetization 0.0 μB per cell. Number 6: D(E_F) 0.00 states/eV per atom, total magnetization 0.0 μB per cell. Number 7: D(E_F) 0.66 states/eV per atom, total magnetization 0.0 μB per cell. Number 8: D(E_F) 0.21 states/eV per atom, total magnetization 0.0 μB per cell. Number 9: D(E_F) 0.86 states/eV per atom, total magnetization 0.5 μB per cell. Number 10: D(E_F) 0.63 states/eV per atom, total magnetization 0.0 μB per cell. Number 11: D(E_F) 0.00 states/eV per atom, total magnetization 6.1 μB per cell. Number 12: D(E_F) 0.63 states/eV per atom, total magnetization 17.6 μB per cell. Number 13: D(E_F) 1.93 states/eV per atom, total magnetization 3.7 μB per cell. Number 14: D(E_F) 1.41 states/eV per atom, total magnetization 0.0 μB per cell. Number 15: D(E_F) 0.55 states/eV per atom, total magnetization 0.0 μB per cell. Number 16: D(E_F) 1.53 states/eV per atom, total magnetization 17.1 μB per cell. Number 17: D(E_F) 1.03 states/eV per atom, total magnetization 0.0 μB per cell. Number 18: D(E_F) 0.87 states/eV per atom, total magnetization 0.0 μB per cell. Number 19: D(E_F) 0.76 states/eV per atom, total magnetization 0.0 μB per cell. Number 20: D(E_F) 0.24 states/eV per atom, total magnetization 0.0 μB per cell.